(1)
Material: ScTe2RuSe
Method: DFT, GGA-PBEsol
State: optimized geometry

Computed properties:
Uncorrected formation energy ... 0.04 eV/atom
Volume ... 127.76 Å³/f.u.
Mass density ... 6.2 Mg/m³

a = 5.3476 Å, b = 5.3476 Å, c = 4.4678 Å
α = 90.00°, β = 90.00°, γ = 90.00°
Sites, in units of the cell vectors:
1 Sc 0.0000 0.0000 0.0000
2 Te 0.0000 0.5000 0.5000
3 Te 0.5000 0.0000 0.5000
4 Ru 0.5000 0.5000 0.5000
5 Se 0.5000 0.5000 0.0000

---

(2)
Material: Sc2Si2Ru
Method: DFT, GGA-PBEsol
State: optimized geometry

Computed properties:
Uncorrected formation energy ... -0.92 eV/atom
Volume ... 83.81 Å³/f.u.
Mass density ... 4.9 Mg/m³

a = 5.3889 Å, b = 5.3889 Å, c = 9.4145 Å
α = 115.87°, β = 115.87°, γ = 44.02°
Sites, in units of the cell vectors:
1 Sc 0.0059 0.0059 0.1773
2 Sc 0.1826 0.1826 0.6075
3 Sc 0.8174 0.8174 0.3925
4 Sc 0.9941 0.9941 0.8227
5 Si 0.3605 0.3605 0.9346
6 Si 0.4878 0.4878 0.6221
7 Si 0.5122 0.5122 0.3779
8 Si 0.6395 0.6395 0.0654
9 Ru 0.2708 0.2708 0.1293
10 Ru 0.7292 0.7292 0.8707

---

(3)
Material: Sc2Si2Ru
Method: DFT, GGA-PBEsol
State: optimized geometry

Computed properties:
Uncorrected formation energy ... -0.91 eV/atom
Volume ... 80.48 Å³/f.u.
Mass density ... 5.1 Mg/m³

a = 6.3654 Å, b = 6.3654 Å, c = 3.9725 Å
α = 90.00°, β = 90.00°, γ = 90.00°
Sites, in units of the cell vectors:
1 Sc 0.1732 0.3268 0.0000
2 Sc 0.3268 0.8268 0.0000
3 Sc 0.6732 0.1732 0.0000
4 Sc 0.8268 0.6732 0.0000
5 Si 0.1327 0.6327 0.5000
6 Si 0.3673 0.1327 0.5000
7 Si 0.6327 0.8673 0.5000
8 Si 0.8673 0.3673 0.5000
9 Ru 0.0000 0.0000 0.5000
10 Ru 0.5000 0.5000 0.5000

---

Q: Which value of mass density does entry 1 give?
A: 6.2 Mg/m³